[1]
{
  "formula": "Sr2TiZn",
  "functional": "GGA-PBE",
  "state": "optimized geometry",
  "lattice": [[-1.529, -8.689, -1.246], [6.365, -1.968, 5.917], [0.171, -5.282, 4.768]],
  "species": ["Sr", "Sr", "Sr", "Sr", "Zn", "Zn", "Ti", "Ti"],
  "fractional_positions": [[0.660, 0.125, 0.250], [0.090, 0.625, 0.250], [0.375, 0.340, 0.750], [0.875, 0.910, 0.750], [0.000, 0.000, 0.000], [0.750, 0.250, 0.500], [0.500, 0.500, 0.000], [0.250, 0.750, 0.500]],
  "space_group": "I-42d",
  "final_energy_ev_per_atom": -2.52,
  "density_g_cm3": 3.6,
  "volume_a3_per_cell": 262.9,
  "ef_kj_per_mol_atoms": 59
}



[2]
{
  "formula": "Sr3TiZn",
  "functional": "GGA-PBE",
  "state": "optimized geometry",
  "lattice": [[-3.176, 1.101, 4.981], [4.521, -2.110, 3.349], [2.362, 5.518, 0.287]],
  "species": ["Sr", "Sr", "Sr", "Zn", "Ti"],
  "fractional_positions": [[0.000, 0.500, 0.000], [0.000, 0.000, 0.500], [0.500, 0.000, 0.000], [0.000, 0.000, 0.000], [0.500, 0.500, 0.500]],
  "space_group": "Pm-3m",
  "final_energy_ev_per_atom": -2.29,
  "density_g_cm3": 2.9,
  "volume_a3_per_cell": 217.0,
  "ef_kj_per_mol_atoms": 54,
  "relative_energy_mev_per_atom": 0
}



[3]
{
  "formula": "Sr2TiZn2",
  "functional": "GGA-PBE",
  "state": "optimized geometry",
  "lattice": [[-0.550, 2.197, 7.122], [-3.629, -6.317, 1.668], [4.387, -2.248, 1.032]],
  "species": ["Sr", "Sr", "Sr", "Sr", "Zn", "Zn", "Zn", "Zn", "Ti", "Ti"],
  "fractional_positions": [[0.180, 0.680, 0.500], [0.680, 0.820, 0.500], [0.820, 0.320, 0.500], [0.320, 0.180, 0.500], [0.372, 0.872, 0.000], [0.872, 0.628, 0.000], [0.628, 0.128, 0.000], [0.128, 0.372, 0.000], [0.000, 0.000, 0.000], [0.500, 0.500, 0.000]],
  "space_group": "P4/mbm",
  "final_energy_ev_per_atom": -2.60,
  "density_g_cm3": 4.2,
  "volume_a3_per_cell": 281.3,
  "ef_kj_per_mol_atoms": 15
}



[4]
{
  "formula": "SrTiZn",
  "functional": "GGA-PBE",
  "state": "optimized geometry",
  "lattice": [[-2.683, 3.989, 1.805], [-0.815, -3.385, -1.035], [1.738, -3.730, 10.828]],
  "species": ["Zn", "Zn", "Sr", "Sr", "Ti", "Ti"],
  "fractional_positions": [[0.694, 0.389, 0.000], [0.195, 0.389, 0.500], [0.695, 0.389, 0.321], [0.695, 0.389, 0.679], [0.194, 0.389, 0.900], [0.194, 0.389, 0.100]],
  "space_group": "P4/mmm",
  "final_energy_ev_per_atom": -3.40,
  "density_g_cm3": 4.4,
  "volume_a3_per_cell": 152.9,
  "ef_kj_per_mol_atoms": 21
}



[5]
{
  "formula": "SrZr2Ti2",
  "functional": "GGA-PBE",
  "state": "optimized geometry",
  "lattice": [[8.683, 0.000, 0.000], [0.000, 8.683, 0.000], [0.000, 0.000, 3.223]],
  "species": ["Sr", "Sr", "Zr", "Zr", "Zr", "Zr", "Ti", "Ti", "Ti", "Ti"],
  "fractional_positions": [[0.000, 0.000, 0.000], [0.500, 0.500, 0.000], [0.368, 0.868, 0.000], [0.868, 0.632, 0.000], [0.632, 0.132, 0.000], [0.132, 0.368, 0.000], [0.149, 0.649, 0.500], [0.649, 0.851, 0.500], [0.851, 0.351, 0.500], [0.351, 0.149, 0.500]],
  "space_group": "P4/mbm",
  "final_energy_ev_per_atom": -6.56,
  "density_g_cm3": 5.0,
  "volume_a3_per_cell": 243.0,
  "ef_kj_per_mol_atoms": 34,
  "relative_energy_mev_per_atom": 47
}



[6]
{
  "formula": "SrZr2Ti",
  "functional": "GGA-PBE",
  "state": "optimized geometry",
  "lattice": [[4.414, 0.000, 0.000], [0.000, 4.414, 0.000], [2.207, 2.207, 10.690]],
  "species": ["Sr", "Sr", "Zr", "Zr", "Zr", "Zr", "Ti", "Ti"],
  "fractional_positions": [[0.000, 0.000, 0.000], [0.750, 0.250, 0.500], [0.600, 0.125, 0.250], [0.150, 0.625, 0.250], [0.375, 0.400, 0.750], [0.875, 0.850, 0.750], [0.500, 0.500, 0.000], [0.250, 0.750, 0.500]],
  "space_group": "I-42d",
  "final_energy_ev_per_atom": -5.78,
  "density_g_cm3": 5.1,
  "volume_a3_per_cell": 208.3,
  "ef_kj_per_mol_atoms": 86,
  "relative_energy_mev_per_atom": 247
}



[7]
{
  "formula": "SrZr2Ti2",
  "functional": "GGA-PBE",
  "state": "optimized geometry",
  "lattice": [[4.172, 0.000, 0.000], [0.000, 4.172, 0.000], [2.086, 2.086, 7.100]],
  "species": ["Sr", "Zr", "Zr", "Ti", "Ti"],
  "fractional_positions": [[0.000, 0.000, 0.000], [0.394, 0.394, 0.213], [0.606, 0.606, 0.787], [0.750, 0.250, 0.500], [0.250, 0.750, 0.500]],
  "space_group": "I4/mmm",
  "final_energy_ev_per_atom": -6.32,
  "density_g_cm3": 4.9,
  "volume_a3_per_cell": 123.6,
  "ef_kj_per_mol_atoms": 57,
  "relative_energy_mev_per_atom": 286
}



[8]
{
  "formula": "SrZr3Ti",
  "functional": "GGA-PBE",
  "state": "optimized geometry",
  "lattice": [[-4.668, 0.732, 1.949], [-2.078, -1.915, -4.259], [0.120, -4.682, 2.047]],
  "species": ["Sr", "Zr", "Zr", "Zr", "Ti"],
  "fractional_positions": [[0.000, 0.000, 0.000], [0.000, 0.500, 0.000], [0.000, 0.000, 0.500], [0.500, 0.000, 0.000], [0.500, 0.500, 0.500]],
  "space_group": "Pm-3m",
  "final_energy_ev_per_atom": -5.15,
  "density_g_cm3": 5.1,
  "volume_a3_per_cell": 133.5,
  "ef_kj_per_mol_atoms": 183,
  "relative_energy_mev_per_atom": 1232
}



Repeat the first record exactly.
{
  "formula": "Sr2TiZn",
  "functional": "GGA-PBE",
  "state": "optimized geometry",
  "lattice": [[-1.529, -8.689, -1.246], [6.365, -1.968, 5.917], [0.171, -5.282, 4.768]],
  "species": ["Sr", "Sr", "Sr", "Sr", "Zn", "Zn", "Ti", "Ti"],
  "fractional_positions": [[0.660, 0.125, 0.250], [0.090, 0.625, 0.250], [0.375, 0.340, 0.750], [0.875, 0.910, 0.750], [0.000, 0.000, 0.000], [0.750, 0.250, 0.500], [0.500, 0.500, 0.000], [0.250, 0.750, 0.500]],
  "space_group": "I-42d",
  "final_energy_ev_per_atom": -2.52,
  "density_g_cm3": 3.6,
  "volume_a3_per_cell": 262.9,
  "ef_kj_per_mol_atoms": 59
}



Number 6 is which compound?
SrZr2Ti